Entry from Alexandria: crystalline RbPdIO2 at its relaxed geometry (GGA-PBEsol).

Calculated values
Uncorrected formation energy = -117 meV/atom
Total energy = -3.9674 eV per atom

a = 4.3470 Å, b = 4.3470 Å, c = 5.3676 Å
α = 90.00°, β = 90.00°, γ = 90.00°
Last column: nearest neighbours and their distance in Å.
Positions (direct):
Rb 0.0000 0.0000 0.0000  4 I 3.07
Pd 0.5000 0.5000 0.5000  4 O 2.17
I 0.5000 0.5000 0.0000  2 Pd 2.68
O 0.0000 0.5000 0.5000  2 Pd 2.17
O 0.5000 0.0000 0.5000  2 Pd 2.17